First-principles (PBE) data for crystalline Gd2ZrH at its relaxed geometry, as listed in Alexandria.

## Properties
Magnetic moment, μB/f.u.: 14.76
Total DFT energy (no corrections), eV for the cell shown: -40.48
Calculated density, g/cm³: 7.79

Cell lengths 8.533, 8.533, 8.533 Å; angles 23.49, 23.49, 23.49 degrees
Sites, in units of the cell vectors:
Gd 0.228 0.228 0.228
Gd 0.772 0.772 0.772
Zr 0.000 0.000 0.000
H 0.500 0.500 0.500

First-principles (PBE) data for crystalline Mn2NbSb at its relaxed geometry, as listed in Alexandria.

## Properties
Magnetic moment, μB/f.u.: 4.97
Uncorrected formation energy, eV/f.u.: 2.0
Calculated density, g/cm³: 7.37

Cell lengths 9.524, 9.524, 9.524 Å; angles 155.70, 155.70, 34.64 degrees
Sites, in units of the cell vectors:
Mn 0.125 0.625 0.000
Mn 0.375 0.375 0.500
Mn 0.625 0.125 0.000
Mn 0.875 0.875 0.500
Nb 0.000 0.000 0.000
Nb 0.750 0.250 0.500
Sb 0.250 0.750 0.500
Sb 0.500 0.500 0.000

First-principles (PBE) data for crystalline CaTeP3 at its relaxed geometry, as listed in Alexandria.

## Properties
Magnetic moment, μB/f.u.: 0.00
Uncorrected formation energy, eV/f.u.: 2.5
Calculated density, g/cm³: 3.31
Energy relative to the lowest polymorph listed for this composition, eV/atom: 0.000

Cell lengths 5.078, 5.078, 5.078 Å; angles 90.00, 90.00, 90.00 degrees
Sites, in units of the cell vectors:
Ca 0.000 0.000 0.000
Te 0.500 0.500 0.500
P 0.000 0.500 0.500
P 0.500 0.000 0.500
P 0.500 0.500 0.000

Which of these has the lowest calculated density? CaTeP3